Record 1
A plane-wave DFT calculation with GGA-PBE was carried out for a relaxed Mn2CdPt crystal.

Calculated values
crystal system: tetragonal
density of states at the Fermi level: 2.96 states/eV/cell
spin magnetization: 7.981 μB/f.u.
energy of formation from the pure elements: -0.033 eV/atom

abc: 4.1422 4.1422 3.7884
angles: 90.00 90.00 90.00
Last column: nearest neighbours and their distance in Å.
Space group P4/mmm (No. 123)
One atom of each set of equivalent atoms:
Mn: 0.0000 0.5000 0.0000  4 Cd 2.81, 4 Pt 2.81, 4 Mn 2.93
Cd: 0.0000 0.0000 0.5000  8 Mn 2.81, 4 Pt 2.93
Pt: 0.5000 0.5000 0.5000  8 Mn 2.81, 4 Cd 2.93


Record 2
A plane-wave DFT calculation with GGA-PBE was carried out for a relaxed Ac2YRuO6 crystal.

Calculated values
crystal system: orthorhombic
raw formation energy: -252.77 kJ per mole of atoms
density of states at the Fermi level: 9.78 states/eV/cell
spin magnetization: 1.018 μB/f.u.

abc: 5.7773 8.4059 6.1871
angles: 90.00 90.00 90.00
Last column: nearest neighbours and their distance in Å.
Space group Pmmn (No. 59, origin choice 2)
One atom of each set of equivalent atoms:
Ac: 0.2500 0.0261 0.2064  7 O 2.59-2.89
Y: 0.2500 0.2500 0.7134  6 O 2.18-2.24
Ru: 0.2500 0.7500 0.7786  6 O 2.03-2.05
O: 0.9996 0.2500 0.9888  1 Ru 2.04, 1 Y 2.24
O: 0.0068 0.2500 0.4449  1 Ru 2.03, 1 Y 2.18
O: 0.2500 0.5068 0.7903  1 Ru 2.05, 1 Y 2.21


Record 3
A plane-wave DFT calculation with GGA-PBE was carried out for a relaxed Na4Tl5Pd2 crystal.

Calculated values
crystal system: monoclinic
density of states at the Fermi level: 5.09 states/eV/cell
spin magnetization: 0.000 μB/f.u.
energy of formation from the pure elements: -0.080 eV/atom

abc: 7.9951 3.3710 10.3197
angles: 90.00 90.99 90.00
Last column: nearest neighbours and their distance in Å.
Space group P2/m (No. 10)
One atom of each set of equivalent atoms:
Na: 0.1713 0.0000 0.3714  2 Pd 3.06, 6 Tl 3.27-3.38, 2 Na 3.37
Na: 0.2314 0.0000 0.9404  4 Pd 2.96-3.01, 4 Tl 3.30-3.31
Tl: 0.1759 0.5000 0.6683  1 Pd 2.81, 1 Tl 3.14
Tl: 0.4206 0.5000 0.1770  1 Pd 2.86
Tl: 0.5000 0.5000 0.5000  6 Tl 3.14-3.38, 4 Na 3.38
Pd: 0.0655 0.5000 0.1365  2 Tl 2.81-2.86, 6 Na 2.96-3.06, 1 Pd 2.99


Record 4
A plane-wave DFT calculation with GGA-PBE was carried out for a relaxed LiIn2GaHg6 crystal.

Calculated values
crystal system: triclinic
density of states at the Fermi level: 2.75 states/eV/cell
spin magnetization: 0.000 μB/f.u.
energy of formation from the pure elements: -0.045 eV/atom

abc: 6.1333 6.2393 7.0692
angles: 109.60 90.09 104.61
Last column: nearest neighbours and their distance in Å.
Space group P1 (No. 1)
One atom of each set of equivalent atoms:
Li: 0.0000 0.0000 0.0000  6 Hg 2.85-2.96
In: 0.4000 0.2845 0.7399  7 Hg 3.04-3.39, 1 Ga 3.09
In: 0.6006 0.2411 0.2023  8 Hg 3.10-3.41, 1 Ga 3.20, 1 Li 3.28
Ga: 0.7896 0.0834 0.5427  5 Hg 2.89-3.18, 2 In 3.09-3.20
Hg: 0.1618 0.4014 0.3654  1 Li 2.89, 3 Hg 3.06-3.22, 1 Ga 3.18, 1 In 3.19
Hg: 0.1815 0.8813 0.3290  1 Li 2.96, 4 Hg 3.06-3.26, 1 Ga 3.15, 2 In 3.15-3.30
Hg: 0.3455 0.8119 0.7942  1 Li 2.85, 1 In 3.04
Hg: 0.6231 0.7163 0.1445  1 Li 2.95, 1 Ga 2.95, 3 In 3.10-3.20, 3 Hg 3.24-3.30
Hg: 0.7870 0.6584 0.6237  1 Li 2.85, 1 Ga 2.89
Hg: 0.9842 0.4301 0.9341  1 Li 2.90, 1 Ga 2.90, 1 In 3.09, 3 Hg 3.19-3.24


Record 5
A plane-wave DFT calculation with GGA-PBE was carried out for a relaxed CsCdHg2H crystal.

Calculated values
crystal system: tetragonal
density of states at the Fermi level: 1.18 states/eV/cell
spin magnetization: 0.000 μB/f.u.
calculated total energy: -5.5 eV per cell

abc: 6.0378 6.0378 4.1628
angles: 90.00 90.00 90.00
Last column: nearest neighbours and their distance in Å.
Space group P4/mmm (No. 123)
One atom of each set of equivalent atoms:
Cs: 0.0000 0.0000 0.0000  8 Hg 3.67
Cd: 0.5000 0.5000 0.5000  2 H 2.08
Hg: 0.0000 0.5000 0.5000  2 Cd 3.02
H: 0.5000 0.5000 0.0000  2 Cd 2.08


Record 6
A plane-wave DFT calculation with GGA-PBE was carried out for a relaxed Tm3Ga2Hg crystal.

Calculated values
crystal system: tetragonal
density of states at the Fermi level: 3.21 states/eV/cell
spin magnetization: 0.000 μB/f.u.
energy of formation from the pure elements: -0.528 eV/atom

abc: 3.4523 3.4523 11.4820
angles: 90.00 90.00 90.00
Last column: nearest neighbours and their distance in Å.
Space group P4/mmm (No. 123)
One atom of each set of equivalent atoms:
Tm: 0.0000 0.0000 0.0000  8 Ga 3.08
Tm: 0.0000 0.0000 0.3203  4 Ga 3.04, 4 Hg 3.20
Ga: 0.5000 0.5000 0.1630  8 Tm 3.04-3.08
Hg: 0.5000 0.5000 0.5000  8 Tm 3.20, 4 Hg 3.45